# 1
{"formula": "Sr3Sb2", "functional": "PBE", "state": "relaxed", "lattice": [[5.588, 0.000, 0.000], [-2.794, 4.839, 0.000], [0.000, 0.000, 7.231]], "species": ["Sb", "Sb", "Sr", "Sr", "Sr"], "fractional_positions": [[0.667, 0.333, 0.213], [0.333, 0.667, 0.787], [0.000, 0.000, 0.000], [0.667, 0.333, 0.684], [0.333, 0.667, 0.316]]}

# 2
{"formula": "Sr3Sb5", "functional": "PBE", "state": "relaxed", "e_above_lowest_polymorph_mev_per_atom": 0, "lattice": [[-5.184, 3.717, -7.041], [5.473, -7.423, 1.358], [-7.281, -4.124, 3.818]], "species": ["Sb", "Sb", "Sb", "Sb", "Sb", "Sb", "Sb", "Sb", "Sb", "Sb", "Sr", "Sr", "Sr", "Sr", "Sr", "Sr"], "fractional_positions": [[0.242, 0.611, 0.387], [0.834, 0.398, 0.575], [0.718, 0.173, 0.834], [0.221, 0.874, 0.128], [0.727, 0.602, 0.425], [0.319, 0.389, 0.612], [0.341, 0.126, 0.872], [0.539, 0.855, 0.152], [0.844, 0.827, 0.166], [0.023, 0.145, 0.848], [0.792, 0.645, 0.817], [0.307, 0.352, 0.179], [0.281, 0.000, 0.500], [0.781, 0.000, 0.500], [0.255, 0.648, 0.821], [0.769, 0.354, 0.184]]}

ΔE_f (raw) values, unit meV per atom, following the record order: -1013 -698.